The following is a PBE-GGA calculation of a relaxed AcNd8Dy6 crystal, from Alexandria via LeMat-Bulk.

Its final energy is -0.3307 Ry per atom. Its crystal system is trigonal.

a = 9.4084 Å, b = 9.4084 Å, c = 20.4581 Å
α = 90.00°, β = 90.00°, γ = 120.00°
With the nearest neighbours (Å) after each atom.
Space group R-3 (No. 148, hexagonal axes)
Symmetry-distinct sites (fractional):
1 Ac 0.0000 0.0000 0.0000 x3  6 Dy 3.60, 6 Nd 3.91
2 Nd 0.0000 0.0000 0.4274 x6  1 Nd 2.97, 3 Dy 3.23
3 Nd 0.0630 0.2453 0.1618 x18  7 Nd 3.48-3.82, 3 Dy 3.49-3.74
4 Dy 0.0389 0.2400 0.6927 x18  3 Nd 3.23-3.53, 1 Dy 3.56, 1 Ac 3.60